First-principles (SCAN) data for a crystal of BeTl2Br relaxed with PBEsol, as listed in Alexandria.

Geometry as POSCAR:
```
BeTl2Br
1.0
-0.088 -3.211 1.507
3.176 -0.539 -1.488
3.364 2.803 6.169
Be Tl Br
1 2 1
Direct
0.500 0.500 0.500 Be
0.000 0.000 0.286 Tl
0.000 0.000 0.714 Tl
0.500 0.500 0.000 Br
```

Computed properties:
Mass density in g/cm³: 8.7
Total magnetization in μB per formula unit: 0.00
Total DFT energy (no corrections) in eV per atom: -41.88

---

First-principles (SCAN) data for a crystal of BeTl2Br relaxed with PBEsol, as listed in Alexandria.

Geometry as POSCAR:
```
BeTl2Br
1.0
3.726 0.000 0.000
0.000 3.726 0.000
0.000 0.000 7.466
Be Tl Br
1 2 1
Direct
0.000 0.000 0.351 Be
0.000 0.000 0.001 Tl
0.500 0.500 0.370 Tl
0.500 0.500 0.778 Br
```

Computed properties:
Mass density in g/cm³: 8.0
Total magnetization in μB per formula unit: 0.00
Total DFT energy (no corrections) in eV per atom: -42.01

---

First-principles (SCAN) data for a crystal of BeTl2Br relaxed with PBEsol, as listed in Alexandria.

Geometry as POSCAR:
```
BeTl2Br
1.0
-0.387 -2.238 4.735
-3.698 -3.619 0.899
1.354 -5.033 0.644
Be Tl Br
1 2 1
Direct
0.000 0.000 0.000 Be
0.750 0.750 0.750 Tl
0.250 0.250 0.250 Tl
0.500 0.500 0.500 Br
```

Computed properties:
Mass density in g/cm³: 8.1
Total magnetization in μB per formula unit: 0.00
Total DFT energy (no corrections) in eV per atom: -41.73

---

First-principles (SCAN) data for a crystal of BeTl2Br relaxed with PBEsol, as listed in Alexandria.

Geometry as POSCAR:
```
BeTl2Br
1.0
4.322 0.000 0.000
0.000 4.322 0.000
-2.161 -2.161 5.539
Be Tl Br
1 2 1
Direct
0.500 0.500 0.000 Be
0.000 0.000 0.000 Tl
0.750 0.250 0.500 Tl
0.250 0.750 0.500 Br
```

Computed properties:
Mass density in g/cm³: 8.0
Total magnetization in μB per formula unit: 0.00
Total DFT energy (no corrections) in eV per atom: -41.82

---

First-principles (SCAN) data for a crystal of BeTlBr relaxed with PBEsol, as listed in Alexandria.

Geometry as POSCAR:
```
BeTlBr
1.0
3.248 0.000 0.000
0.000 3.248 0.000
-1.624 -1.624 6.356
Be Tl Br
1 1 1
Direct
0.026 0.026 0.052 Be
0.360 0.360 0.720 Tl
0.614 0.614 0.227 Br
```

Computed properties:
Mass density in g/cm³: 7.3
Total magnetization in μB per formula unit: 0.00
Total DFT energy (no corrections) in eV per atom: -31.79

---

First-principles (SCAN) data for a crystal of BeW2Br relaxed with PBEsol, as listed in Alexandria.

Geometry as POSCAR:
```
BeW2Br
1.0
-0.196 0.895 -2.792
-3.915 -2.214 -0.435
-2.284 3.771 1.369
Be Br W
1 1 2
Direct
0.500 0.500 0.000 Be
0.000 0.500 0.500 Br
0.000 0.000 0.000 W
0.500 0.000 0.500 W
```

Computed properties:
Mass density in g/cm³: 12.4
Total magnetization in μB per formula unit: 0.00
Total DFT energy (no corrections) in eV per atom: -39.56

---

First-principles (SCAN) data for a crystal of BeWBr2 relaxed with PBEsol, as listed in Alexandria.

Geometry as POSCAR:
```
BeWBr2
1.0
-1.371 1.308 2.331
-3.328 -3.200 -0.162
2.412 -2.656 2.910
Be Br W
1 2 1
Direct
0.500 0.000 0.000 Be
0.000 0.000 0.500 Br
0.000 0.500 0.000 Br
0.500 0.500 0.500 W
```

Computed properties:
Mass density in g/cm³: 9.1
Total magnetization in μB per formula unit: 0.00
Total DFT energy (no corrections) in eV per atom: -26.77

---

First-principles (SCAN) data for a crystal of BeW2Br relaxed with PBEsol, as listed in Alexandria.

Geometry as POSCAR:
```
BeW2Br
1.0
2.964 0.000 0.000
0.000 4.601 0.000
-1.482 -2.301 4.422
Be Br W
1 1 2
Direct
0.500 0.000 0.000 Be
0.000 0.500 0.000 Br
0.769 0.769 0.538 W
0.231 0.231 0.462 W
```

Computed properties:
Mass density in g/cm³: 12.6
Total magnetization in μB per formula unit: 0.00
Total DFT energy (no corrections) in eV per atom: -39.62

---

First-principles (SCAN) data for a crystal of BeWBr2 relaxed with PBEsol, as listed in Alexandria.

Geometry as POSCAR:
```
BeWBr2
1.0
-3.824 2.285 -0.143
-2.214 0.401 -3.848
-3.861 -2.150 -0.585
Be Br W
1 2 1
Direct
0.500 0.500 0.500 Be
0.250 0.250 0.250 Br
0.750 0.750 0.750 Br
0.000 0.000 0.000 W
```

Computed properties:
Mass density in g/cm³: 9.4
Total magnetization in μB per formula unit: 0.00
Total DFT energy (no corrections) in eV per atom: -26.88

---

First-principles (SCAN) data for a crystal of BeWBr2 relaxed with PBEsol, as listed in Alexandria.

Geometry as POSCAR:
```
BeWBr2
1.0
-3.943 0.427 -2.595
-2.070 -3.857 -1.819
-4.150 -1.501 1.730
Be Br W
1 2 1
Direct
0.500 0.500 0.500 Be
0.000 0.000 0.000 Br
0.750 0.750 0.750 Br
0.250 0.250 0.250 W
```

Computed properties:
Mass density in g/cm³: 7.8
Total magnetization in μB per formula unit: 4.08
Total DFT energy (no corrections) in eV per atom: -26.48

---

First-principles (SCAN) data for a crystal of BeWBr2 relaxed with PBEsol, as listed in Alexandria.

Geometry as POSCAR:
```
BeWBr2
1.0
-4.957 -2.249 -0.981
4.991 -3.589 -1.403
1.140 -4.069 3.567
Be Br W
2 4 2
Direct
0.250 0.500 0.250 Be
0.500 0.000 0.500 Be
0.174 0.750 0.875 Br
0.576 0.750 0.375 Br
0.375 0.250 0.174 Br
0.875 0.250 0.576 Br
0.750 0.500 0.750 W
0.000 0.000 0.000 W
```

Computed properties:
Mass density in g/cm³: 7.7
Total magnetization in μB per formula unit: 0.00
Total DFT energy (no corrections) in eV per atom: -26.97

---

First-principles (SCAN) data for a crystal of BeWBr2 relaxed with PBEsol, as listed in Alexandria.

Geometry as POSCAR:
```
BeWBr2
1.0
-1.129 -2.685 -0.970
4.179 0.387 -1.078
0.459 -2.718 6.993
Be Br W
1 2 1
Direct
0.815 0.629 0.310 Be
0.970 0.941 0.109 Br
0.152 0.305 0.675 Br
0.563 0.125 0.407 W
```

Computed properties:
Mass density in g/cm³: 6.4
Total magnetization in μB per formula unit: 0.00
Total DFT energy (no corrections) in eV per atom: -27.79